Na2Lu2B2TeO10 (PBEsol, relaxed); E_form (uncorrected) = -2501 meV per atom; N(E_F) = 0.000 states/eV/cell; SG = P2_1/c (14); calculated total energy = -250.22 eV for the cell shown
1.0
-5.489 1.854 2.325
-1.372 -5.936 -2.566
2.191 -4.186 8.511
Na B Lu Te O
4 4 4 2 20
Cartesian
-2.578 -1.561 4.208 Na
-0.803 -4.888 7.682 Na
-2.091 -6.706 4.061 Na
-3.866 -3.380 0.587 Na
-1.055 -4.097 4.924 B
-3.590 0.062 2.056 B
-3.614 -4.171 3.345 B
-1.079 -8.330 6.214 B
-0.361 -0.593 1.645 Lu
-3.992 -4.000 6.471 Lu
-4.308 -7.674 6.624 Lu
-0.677 -4.268 1.798 Lu
1.096 -2.093 4.255 Te
-0.686 -2.968 -1.283 Te
-2.294 -0.101 2.407 O
-2.050 -4.509 5.743 O
-2.375 -8.167 5.862 O
-2.619 -3.759 2.526 O
-4.970 -0.673 4.800 O
1.407 -5.429 6.385 O
0.301 -7.594 3.470 O
-6.077 -2.838 1.884 O
-0.590 -2.768 5.086 O
-4.202 -0.986 1.326 O
-4.079 -5.499 3.184 O
-0.467 -7.281 6.944 O
-4.318 1.184 2.373 O
-0.494 -4.902 3.963 O
-0.351 -9.451 5.896 O
-4.176 -3.366 4.307 O
-3.418 -1.865 6.854 O
-1.140 -2.338 0.469 O
-1.252 -6.403 1.415 O
-3.530 -5.929 7.801 O